Entry 1:
VASP calculation (PBE) on a relaxed structure of AlSiPt.

Computed properties:
uncorrected formation energy	-72	kJ/mol of atoms
SG	F-43m

extended XYZ file:
```
3
Lattice="0.000 2.919 2.919 2.919 0.000 2.919 2.919 2.919 0.000" Properties=species:S:1:pos:R:3 pbc="T T T"
Al 0.000 0.000 0.000
Si 2.919 2.919 2.919
Pt 1.460 1.460 1.460
```

Entry 2:
VASP calculation (PBE) on a relaxed structure of TaRu2.

Computed properties:
calculated formation energy	-73	meV per atom
SG	I4/mmm

extended XYZ file:
```
3
Lattice="-1.391 1.391 5.966 1.391 -1.391 5.966 1.391 1.391 -5.966" Properties=species:S:1:pos:R:3 pbc="T T T"
Ta 0.000 0.000 0.000
Ru 0.000 0.000 3.849
Ru 0.000 0.000 8.082
```

Entry 3:
VASP calculation (PBE) on a relaxed structure of RbLi2Se2O6.

Computed properties:
uncorrected formation energy	-125	kJ/mol of atoms
SG	P-1

extended XYZ file:
```
11
Lattice="5.538 0.000 0.000 -2.561 5.219 0.000 -0.697 -2.757 6.981" Properties=species:S:1:pos:R:3 pbc="T T T"
Rb 0.000 0.000 0.000
Li -0.236 3.129 1.094
Li 2.517 -0.668 5.887
Se -0.288 1.095 4.865
Se 2.569 1.367 2.116
O -1.166 0.113 5.978
O 0.946 1.827 1.928
O -0.425 2.665 5.529
O 2.706 -0.203 1.452
O 1.335 0.635 5.053
O 3.446 2.349 1.003
```

Entry 4:
VASP calculation (PBE) on a relaxed structure of Sc8Ge3PS4.

Computed properties:
uncorrected formation energy	-139	kJ/mol of atoms
SG	R-3m

extended XYZ file:
```
16
Lattice="3.773 2.178 6.239 -3.773 2.178 6.239 0.000 -4.356 6.239" Properties=species:S:1:pos:R:3 pbc="T T T"
Sc 0.000 -2.198 7.781
Sc -1.904 1.099 7.781
Sc -1.904 -1.099 10.935
Sc 0.000 0.000 4.654
Sc 0.000 0.000 14.063
Sc 1.904 1.099 7.781
Sc 1.904 -1.099 10.936
Sc 0.000 2.198 10.936
Ge -1.886 -1.089 6.239
Ge -1.886 1.089 12.478
Ge 0.000 2.178 6.239
P 0.000 0.000 0.000
S -3.773 0.000 9.358
S -1.886 1.089 3.119
S 1.886 1.089 3.119
S 0.000 0.000 9.358
```

Entry 5:
VASP calculation (PBE) on a relaxed structure of Pr4Mg3Hg.

Computed properties:
calculated formation energy	-199	meV per atom
SG	P4/mmm

extended XYZ file:
```
8
Lattice="3.911 0.000 0.000 0.000 3.911 0.000 0.000 0.000 15.519" Properties=species:S:1:pos:R:3 pbc="T T T"
Pr 0.000 0.000 1.903
Pr 0.000 0.000 5.785
Pr 0.000 0.000 9.735
Pr 0.000 0.000 13.617
Mg 1.955 1.955 3.887
Mg 1.955 1.955 7.760
Mg 1.955 1.955 11.633
Hg 1.955 1.955 0.000
```

Entry 6:
VASP calculation (PBE) on a relaxed structure of NiGeMoRh.

Computed properties:
calculated formation energy	-147	meV per atom
SG	F-43m

extended XYZ file:
```
4
Lattice="0.000 3.018 3.018 3.018 0.000 3.018 3.018 3.018 0.000" Properties=species:S:1:pos:R:3 pbc="T T T"
Ni 0.000 0.000 0.000
Ge 3.018 3.018 3.018
Mo 4.527 4.527 4.527
Rh 1.509 1.509 1.509
```

Entry 7:
VASP calculation (PBE) on a relaxed structure of CrBMoSe2.

Computed properties:
uncorrected formation energy	151	kJ/mol of atoms
SG	P4/mmm

extended XYZ file:
```
5
Lattice="4.535 0.000 0.000 0.000 4.535 0.000 0.000 0.000 4.647" Properties=species:S:1:pos:R:3 pbc="T T T"
Cr 0.000 0.000 0.000
B 2.268 2.268 2.323
Mo 0.000 0.000 2.323
Se 0.000 2.268 0.000
Se 2.268 0.000 0.000
```

Entry 8:
VASP calculation (PBE) on a relaxed structure of SbTeMo2.

Computed properties:
uncorrected formation energy	59	kJ/mol of atoms
SG	I-4m2

extended XYZ file:
```
4
Lattice="-2.172 2.172 4.103 2.172 -2.172 4.103 2.172 2.172 -4.103" Properties=species:S:1:pos:R:3 pbc="T T T"
Sb 0.000 0.000 0.000
Te 2.172 0.000 2.051
Mo 0.000 0.000 4.103
Mo 0.000 2.172 2.051
```